(1)
The following is a PBE calculation of a geometry-optimized HoFe2Ge2 structure, from Alexandria via LeMat-Bulk.

## Properties
The total energy is -32.961 eV for the cell shown. The energy of formation comes out at -445 meV per atom.

a b c (Å): 6.0349 6.0349 6.0349
angles (deg): 142.07 142.07 54.72
With the nearest neighbours (Å) after each atom.
Positions (direct):
Ho: 0.0000 0.0000 0.0000  8 Ge 3.04, 8 Fe 3.32
Fe: 0.7500 0.2500 0.5000  4 Ge 2.43
Fe: 0.2500 0.7500 0.5000  4 Ge 2.43
Ge: 0.6168 0.6168 0.0000  4 Fe 2.43, 1 Ge 2.50
Ge: 0.3832 0.3832 0.0000  4 Fe 2.43, 1 Ge 2.50



(2)
The following is a PBE calculation of a geometry-optimized SrMg2As structure, from Alexandria via LeMat-Bulk.

## Properties
The total energy is -11.112 eV for the cell shown. The energy of formation comes out at -398 meV per atom.

a b c (Å): 4.3815 5.4831 5.4878
angles (deg): 66.72 90.00 90.00
With the nearest neighbours (Å) after each atom.
Positions (direct):
As: 0.5000 0.7500 0.7500  4 Mg 2.70, 2 Sr 3.02
Mg: 0.0000 0.9218 0.9234  2 As 2.70
Mg: 0.0000 0.5782 0.5766  2 As 2.70
Sr: 0.5000 0.2500 0.2500  2 As 3.02